VASP calculation (PBE-GGA) on crystalline LaSm2TlHg4 at its relaxed geometry.

The value obtained for the density of states at the Fermi level is 7.15 states/eV per cell. Its energy of formation is -3.2 eV/f.u. As for the space group: R-3m.

Structure (CIF):
```
data_LaSm2TlHg4
_symmetry_space_group_name_H-M 'P 1'
_symmetry_Int_Tables_number 1
_cell_length_a 5.2654
_cell_length_b 5.2654
_cell_length_c 9.7427
_cell_angle_alpha 74.32
_cell_angle_beta 74.32
_cell_angle_gamma 60.00
loop_
_symmetry_equiv_pos_as_xyz
'x,y,z'
loop_
_atom_site_label
_atom_site_type_symbol
_atom_site_fract_x
_atom_site_fract_y
_atom_site_fract_z
Hg1 Hg 0.1198 0.1198 0.6407
Hg2 Hg 0.3748 0.3748 0.8756
Hg3 Hg 0.6252 0.6252 0.1244
Hg4 Hg 0.8802 0.8802 0.3593
Sm1 Sm 0.2375 0.2375 0.2874
Sm2 Sm 0.7625 0.7625 0.7126
La1 La 0.0000 0.0000 0.0000
Tl1 Tl 0.5000 0.5000 0.5000
```